A plane-wave DFT calculation with PBE was carried out for a relaxed Ti5GaCu crystal.

Cell: 7.8167 7.8167 13.0553 Å, 33.38 33.38 52.54°
Last column: nearest neighbours and their distance in Å.
Fractional coordinates of all 14 atoms:
Cu: 0.0000 0.0000 0.0000  10 Ti 2.63-2.88
Cu: 0.0000 0.0000 0.5000  10 Ti 2.63-2.88
Ti: 0.5000 0.0000 0.1209  2 Ti 2.55, 2 Ga 2.69, 2 Cu 2.73
Ti: 0.3572 0.6427 0.9317  1 Ga 2.56, 1 Cu 2.63, 1 Ti 2.66
Ti: 0.5000 0.0000 0.8791  2 Ti 2.55, 2 Ga 2.69, 2 Cu 2.73
Ti: 0.0000 0.5000 0.3791  2 Ti 2.55, 2 Ga 2.69, 2 Cu 2.73
Ti: 0.8944 0.1056 0.2500  3 Ga 2.65-2.70, 2 Ti 2.94
Ti: 0.1056 0.8944 0.7500  3 Ga 2.65-2.70, 2 Ti 2.94
Ti: 0.0000 0.5000 0.6209  2 Ti 2.55, 2 Ga 2.69, 2 Cu 2.73
Ti: 0.6428 0.3573 0.0683  1 Ga 2.56, 1 Cu 2.63, 1 Ti 2.66
Ti: 0.3573 0.6428 0.5683  1 Ga 2.56, 1 Cu 2.63, 1 Ti 2.66
Ti: 0.6427 0.3572 0.4317  1 Ga 2.56, 1 Cu 2.63, 1 Ti 2.66
Ga: 0.5048 0.4952 0.2500  9 Ti 2.56-2.70
Ga: 0.4952 0.5048 0.7500  9 Ti 2.56-2.70

Crystal system: orthorhombic

***

A plane-wave DFT calculation with PBE was carried out for a relaxed Ti2Ga4Cu3 crystal.

Cell: 5.2672 7.0821 7.6177 Å, 90.00 110.23 90.00°
Last column: nearest neighbours and their distance in Å.
Fractional coordinates of all 18 atoms:
Ga: 0.6726 0.5241 0.3452  5 Cu 2.43-2.53
Ga: 0.1726 0.9759 0.3452  5 Cu 2.43-2.53
Ga: 0.8139 0.2500 0.1278  3 Cu 2.39-2.50, 2 Ga 2.63
Ga: 0.3139 0.2500 0.1278  3 Cu 2.39-2.50, 2 Ga 2.63
Ga: 0.1861 0.7500 0.8722  3 Cu 2.39-2.50, 2 Ga 2.63
Ga: 0.8274 0.0241 0.6548  5 Cu 2.43-2.53
Ga: 0.3274 0.4759 0.6548  5 Cu 2.43-2.53
Ga: 0.6861 0.7500 0.8722  3 Cu 2.39-2.50, 2 Ga 2.63
Cu: 0.5000 0.5000 0.0000  6 Ga 2.39-2.47
Cu: 0.9885 0.2500 0.4770  5 Ga 2.43-2.53, 2 Cu 2.63
Cu: 0.4885 0.2500 0.4770  5 Ga 2.43-2.53, 2 Cu 2.63
Cu: 0.0115 0.7500 0.5230  5 Ga 2.43-2.53, 2 Cu 2.63
Cu: 0.0000 0.0000 0.0000  6 Ga 2.39-2.47
Cu: 0.5115 0.7500 0.5230  5 Ga 2.43-2.53, 2 Cu 2.63
Ti: 0.9036 0.3944 0.8071  7 Ga 2.83-2.91, 5 Cu 2.89-3.12, 1 Ti 3.14
Ti: 0.0964 0.6056 0.1929  7 Ga 2.83-2.91, 5 Cu 2.89-3.12, 1 Ti 3.14
Ti: 0.4036 0.1056 0.8071  7 Ga 2.83-2.91, 5 Cu 2.89-3.12, 1 Ti 3.14
Ti: 0.5964 0.8944 0.1929  7 Ga 2.83-2.91, 5 Cu 2.89-3.12, 1 Ti 3.14

Crystal system: orthorhombic

***

A plane-wave DFT calculation with PBE was carried out for a relaxed Ti5Ga3Cu crystal.

Cell: 5.3559 7.8295 7.8295 Å, 120.00 90.00 90.00°
Last column: nearest neighbours and their distance in Å.
Fractional coordinates of all 18 atoms:
Ti: 0.7500 0.0000 0.3063  5 Ga 2.62-2.71, 2 Cu 2.75
Ti: 0.5000 0.3333 0.6667  2 Ti 2.68, 6 Ga 2.85
Ti: 0.2500 0.6937 0.0000  5 Ga 2.62-2.71, 2 Cu 2.75
Ti: 0.5000 0.6667 0.3333  2 Ti 2.68, 6 Ga 2.85
Ti: 0.7500 0.6937 0.6937  5 Ga 2.62-2.71, 2 Cu 2.75
Ti: 0.2500 0.3063 0.3063  5 Ga 2.62-2.71, 2 Cu 2.75
Ti: 0.7500 0.3063 0.0000  5 Ga 2.62-2.71, 2 Cu 2.75
Ti: 0.0000 0.3333 0.6667  2 Ti 2.68, 6 Ga 2.85
Ti: 0.2500 0.0000 0.6937  5 Ga 2.62-2.71, 2 Cu 2.75
Ti: 0.0000 0.6667 0.3333  2 Ti 2.68, 6 Ga 2.85
Ga: 0.7500 0.3573 0.3573  9 Ti 2.62-2.85
Ga: 0.7500 0.0000 0.6427  9 Ti 2.62-2.85
Ga: 0.7500 0.6427 0.0000  9 Ti 2.62-2.85
Ga: 0.2500 0.3573 0.0000  9 Ti 2.62-2.85
Ga: 0.2500 0.0000 0.3573  9 Ti 2.62-2.85
Ga: 0.2500 0.6427 0.6427  9 Ti 2.62-2.85
Cu: 0.5000 0.0000 0.0000  2 Cu 2.68, 6 Ti 2.75
Cu: 0.0000 0.0000 0.0000  2 Cu 2.68, 6 Ti 2.75

Crystal system: hexagonal

***

A plane-wave DFT calculation with PBE was carried out for a relaxed Ti4Ga3Cu crystal.

Cell: 2.8113 2.8113 15.5831 Å, 90.00 90.00 90.00°
Last column: nearest neighbours and their distance in Å.
Fractional coordinates of all 8 atoms:
Ti: 0.0000 0.0000 0.8812  4 Cu 2.72, 4 Ga 2.79, 4 Ti 2.81
Ti: 0.0000 0.0000 0.6287  8 Ga 2.80-2.82, 4 Ti 2.81
Ti: 0.0000 0.0000 0.1188  4 Cu 2.72, 4 Ga 2.79, 4 Ti 2.81
Ti: 0.0000 0.0000 0.3713  8 Ga 2.80-2.82, 4 Ti 2.81
Cu: 0.5000 0.5000 0.0000  8 Ti 2.72, 4 Cu 2.81
Ga: 0.5000 0.5000 0.2444  8 Ti 2.79-2.80, 4 Ga 2.81
Ga: 0.5000 0.5000 0.7556  8 Ti 2.79-2.80, 4 Ga 2.81
Ga: 0.5000 0.5000 0.5000  4 Ga 2.81, 8 Ti 2.82

Polymorph energy (0 for the lowest one) in eV per formula unit: 0.00
Crystal system: tetragonal

***

Number 1: D(E_F) 19.13 states/eV per cell, energy -94.36 eV for the cell shown, calculated density 5.4 g/cm3. Number 2: D(E_F) 9.71 states/eV per cell, energy -84.74 eV for the cell shown, calculated density 7.0 g/cm3. Number 3: D(E_F) 20.31 states/eV per cell, energy -111.90 eV for the cell shown, calculated density 6.0 g/cm3. Number 4: D(E_F) 7.71 states/eV per cell, energy -47.76 eV for the cell shown, calculated density 6.3 g/cm3.